First-principles (PBE) data for a relaxed Ag2HgRhCl6 crystal, as listed in Alexandria via LeMat-Bulk.

The structure in POSCAR format:
```
Ag2HgRhCl6
1.0
6.781 0.000 0.002
3.391 5.867 0.005
3.392 1.959 6.182
Ag Hg Rh Cl
2 1 1 6
Cartesian
6.783 3.910 1.029
3.390 1.961 5.797
10.173 5.869 3.415
3.391 1.956 0.320
5.353 1.827 1.680
5.694 6.187 1.684
9.301 3.715 1.685
7.870 5.552 5.143
7.654 2.157 5.139
4.821 4.044 5.142
```

## Properties
- uncorrected formation energy (eV/atom) = -0.443
- ρ (g cm⁻³) = 4.94
- DOS at the Fermi energy (states/eV per cell) = 4.41
- space group = No. 2
- raw total energy (eV per formula unit) = -28.87

---

First-principles (PBE) data for a relaxed AgHgS2Cl crystal, as listed in Alexandria via LeMat-Bulk.

The structure in POSCAR format:
```
AgHgS2Cl
1.0
-3.016 -3.174 2.245
1.379 -3.529 -3.138
3.628 -1.292 3.048
S Hg Ag Cl
2 1 1 1
Cartesian
0.690 -1.765 -1.569
-1.508 -1.587 1.122
0.996 -3.998 1.077
0.000 0.000 0.000
1.814 -0.646 1.524
```

## Properties
- E above lowest polymorph (eV per atom) = 0.0000
- uncorrected formation energy (eV/atom) = 0.486
- ρ (g cm⁻³) = 5.70
- DOS at the Fermi energy (states/eV per cell) = 4.26
- space group = No. 123
- raw total energy (eV per formula unit) = -10.82

---

First-principles (PBE) data for a relaxed Ag2HgSCl crystal, as listed in Alexandria via LeMat-Bulk.

The structure in POSCAR format:
```
Ag2HgSCl
1.0
-5.881 -0.353 3.083
-1.256 -5.771 -3.056
5.926 0.333 4.171
Ag Hg S Cl
4 2 2 2
Cartesian
2.949 -4.159 2.291
0.136 -3.750 4.142
1.360 -0.829 5.357
4.173 -1.237 3.506
-2.292 -4.539 2.279
1.276 -1.477 2.265
0.172 -0.199 0.306
-3.396 -3.261 0.320
-1.624 -1.700 3.878
0.689 -4.409 0.809
```

## Properties
- uncorrected formation energy (eV/atom) = -0.136
- ρ (g cm⁻³) = 6.58
- DOS at the Fermi energy (states/eV per cell) = 1.40
- space group = No. 108
- raw total energy (eV per formula unit) = -12.66

---

First-principles (PBE) data for a relaxed AgHgSCl2 crystal, as listed in Alexandria via LeMat-Bulk.

The structure in POSCAR format:
```
AgHgSCl2
1.0
-0.118 0.432 -4.844
2.942 -3.851 -0.415
-4.159 -3.158 -0.181
S Hg Ag Cl
1 1 1 2
Cartesian
-2.079 -1.579 -0.090
-0.667 -3.288 -2.720
0.000 0.000 0.000
1.471 -1.926 -0.208
-0.059 0.216 -2.422
```

## Properties
- E above lowest polymorph (eV per atom) = 0.0000
- uncorrected formation energy (eV/atom) = 0.152
- ρ (g cm⁻³) = 5.53
- DOS at the Fermi energy (states/eV per cell) = 2.72
- space group = No. 123
- raw total energy (eV per formula unit) = -10.21

---

First-principles (PBE) data for a relaxed AgHgSCl2 crystal, as listed in Alexandria via LeMat-Bulk.

The structure in POSCAR format:
```
AgHgSCl2
1.0
-3.540 3.909 0.495
-3.940 -3.513 -0.439
0.004 -0.620 4.928
S Hg Ag Cl
1 1 1 2
Cartesian
0.002 -0.310 2.464
0.000 0.000 0.000
-3.738 -0.112 2.492
-1.970 -1.756 -0.219
-1.770 1.954 0.248
```

## Properties
- E above lowest polymorph (eV per atom) = 0.0832
- uncorrected formation energy (eV/atom) = 0.236
- ρ (g cm⁻³) = 4.90
- DOS at the Fermi energy (states/eV per cell) = 4.79
- space group = No. 123
- raw total energy (eV per formula unit) = -9.80

---

First-principles (PBE) data for a relaxed AgHgSCl crystal, as listed in Alexandria via LeMat-Bulk.

The structure in POSCAR format:
```
AgHgSCl
1.0
4.123 0.000 0.000
2.061 3.824 0.589
2.061 2.381 7.562
Ag Hg S Cl
1 1 1 1
Cartesian
4.123 3.626 7.303
6.184 4.979 4.815
6.184 5.068 7.219
4.123 4.309 3.246
```

## Properties
- uncorrected formation energy (eV/atom) = -0.195
- ρ (g cm⁻³) = 5.50
- DOS at the Fermi energy (states/eV per cell) = 0.79
- space group = No. 8
- raw total energy (eV per formula unit) = -9.91